1.
Below is a PBEsol-optimized structure of BaNiAu2, with properties calculated at the meta-GGA SCAN level.

Total moment ... 0.00 μB per atom
Formation energy from the elements ... 0.09 eV/atom

Cell: 5.6906 6.7121 4.3958 Å, 90.00 90.00 90.00°
Last column: nearest neighbours and their distance in Å.
Space group Cmmm (No. 65)
Inequivalent atoms, fractional coordinates:
Ba: 0.0000 0.0000 0.0000 x2  2 Ni 2.85, 8 Au 3.11
Ni: 0.0000 0.5000 0.0000 x2  2 Ba 2.85, 8 Au 3.11
Au: 0.2500 0.2500 0.5000 x4  2 Au 2.85, 4 Ba 3.11, 4 Ni 3.11


2.
Below is a PBEsol-optimized structure of BaNiAu, with properties calculated at the meta-GGA SCAN level.

Total moment ... 0.15 μB per atom
Formation energy from the elements ... -0.06 eV/atom

Cell: 3.5647 3.5647 10.7393 Å, 90.00 90.00 90.00°
Last column: nearest neighbours and their distance in Å.
Space group I4mm (No. 107)
Inequivalent atoms, fractional coordinates:
Ba: 0.0000 0.0000 0.0000 x2  1 Ni 2.90, 1 Au 3.06
Ni: 0.0000 0.0000 0.2704 x2  4 Au 2.59
Au: 0.0000 0.0000 0.7149 x2  4 Ni 2.59


3.
Below is a PBEsol-optimized structure of BaYNi2Au, with properties calculated at the meta-GGA SCAN level.

Total moment ... 0.40 μB per atom
Formation energy from the elements ... 0.65 eV/atom

Cell: 4.8774 4.8774 5.4463 Å, 90.00 90.00 90.00°
Last column: nearest neighbours and their distance in Å.
Space group P4/mmm (No. 123)
Inequivalent atoms, fractional coordinates:
Ba: 0.0000 0.0000 0.0000 x1  2 Au 2.72
Y: 0.5000 0.5000 0.0000 x1  4 Ba 3.45, 8 Ni 3.66
Ni: 0.0000 0.5000 0.5000 x2  2 Au 2.44
Au: 0.0000 0.0000 0.5000 x1  4 Ni 2.44, 2 Ba 2.72


4.
Below is a PBEsol-optimized structure of BaAu3O, with properties calculated at the meta-GGA SCAN level.

Total moment ... 0.00 μB per atom
Formation energy (no corrections) ... -40 kJ/mol of formula units

Cell: 4.6964 4.6964 4.6964 Å, 90.00 90.00 90.00°
Last column: nearest neighbours and their distance in Å.
Space group Pm-3m (No. 221)
Inequivalent atoms, fractional coordinates:
Ba: 0.0000 0.0000 0.0000 x1  12 Au 3.32
Au: 0.0000 0.5000 0.5000 x3  2 O 2.35
O: 0.5000 0.5000 0.5000 x1  6 Au 2.35


5.
Below is a PBEsol-optimized structure of Ba3AuO, with properties calculated at the meta-GGA SCAN level.

Total moment ... 0.00 μB per atom
Formation energy (no corrections) ... -646 kJ/mol of formula units

Cell: 5.3535 5.3535 5.3535 Å, 90.00 90.00 90.00°
Last column: nearest neighbours and their distance in Å.
Space group Pm-3m (No. 221)
Inequivalent atoms, fractional coordinates:
Ba: 0.0000 0.0000 0.5000 x3  2 O 2.68
Au: 0.5000 0.5000 0.5000 x1  12 Ba 3.79
O: 0.0000 0.0000 0.0000 x1  6 Ba 2.68


6.
Below is a PBEsol-optimized structure of BaAuO2, with properties calculated at the meta-GGA SCAN level.

Total moment ... 0.00 μB per atom
Formation energy (no corrections) ... -434 kJ/mol of formula units

Cell: 4.8605 4.8605 12.7995 Å, 90.00 90.00 90.00°
Last column: nearest neighbours and their distance in Å.
Space group I-42d (No. 122)
Inequivalent atoms, fractional coordinates:
Ba: 0.0000 0.0000 0.0000 x4  4 O 2.59
Au: 0.0000 0.0000 0.5000 x4  4 O 2.16
O: 0.1646 0.2500 0.6250 x8  2 Au 2.16


7.
Below is a PBEsol-optimized structure of BaAuO2, with properties calculated at the meta-GGA SCAN level.

Total moment ... 0.00 μB per atom
Formation energy (no corrections) ... -633 kJ/mol of formula units

Cell: 7.3201 10.1227 3.8643 Å, 90.00 90.18 90.00°
Last column: nearest neighbours and their distance in Å.
Space group C2/m (No. 12)
Inequivalent atoms, fractional coordinates:
Ba: 0.2500 0.2500 0.0000 x4  6 O 2.71-2.75
Au: 0.0000 0.0000 0.5000 x2  4 O 2.01-2.04
Au: 0.0000 0.5000 0.5000 x2  2 O 2.01
O: 0.0000 0.1990 0.5000 x4  1 Au 2.01
O: 0.2474 0.5000 0.2757 x4  2 Au 2.01-2.04


8.
Below is a PBEsol-optimized structure of Ba2OsAu, with properties calculated at the meta-GGA SCAN level.

Total moment ... 0.10 μB per atom
Formation energy from the elements ... 0.47 eV/atom

Cell: 8.4163 3.2788 8.4621 Å, 90.00 97.16 90.00°
Last column: nearest neighbours and their distance in Å.
Space group C2/m (No. 12)
Inequivalent atoms, fractional coordinates:
Ba: 0.2470 0.0000 0.2309 x4  3 Os 3.06-3.13, 3 Au 3.27-3.35, 2 Ba 3.28
Os: 0.0000 0.5000 0.0000 x2  6 Ba 3.06-3.13, 2 Os 3.28
Au: 0.0000 0.0000 0.5000 x2  6 Ba 3.27-3.35, 2 Au 3.28


9.
Below is a PBEsol-optimized structure of BaOs2Au, with properties calculated at the meta-GGA SCAN level.

Total moment ... 0.00 μB per atom
Formation energy from the elements ... 1.05 eV/atom

Cell: 2.8036 4.3020 6.8783 Å, 90.00 90.00 90.00°
Last column: nearest neighbours and their distance in Å.
Space group Pmmm (No. 47)
Inequivalent atoms, fractional coordinates:
Ba: 0.0000 0.0000 0.0000 x1  2 Ba 2.80
Os: 0.5000 0.5000 0.3278 x2  1 Os 2.37
Au: 0.0000 0.0000 0.5000 x1  2 Au 2.80, 8 Os 2.83


10.
Below is a PBEsol-optimized structure of Ba2OsAu, with properties calculated at the meta-GGA SCAN level.

Total moment ... 0.28 μB per atom
Formation energy from the elements ... 0.58 eV/atom

Cell: 7.3690 7.3690 7.3690 Å, 90.00 90.00 90.00°
Last column: nearest neighbours and their distance in Å.
Space group F-43m (No. 216)
Inequivalent atoms, fractional coordinates:
Ba: 0.0000 0.0000 0.0000 x4  4 Au 3.19, 4 Ba 3.19
Ba: 0.2500 0.2500 0.2500 x4  4 Ba 3.19, 4 Os 3.19
Os: 0.0000 0.0000 0.5000 x4  4 Ba 3.19, 4 Au 3.19
Au: 0.2500 0.2500 0.7500 x4  4 Ba 3.19, 4 Os 3.19


11.
Below is a PBEsol-optimized structure of BaOsAu2, with properties calculated at the meta-GGA SCAN level.

Total moment ... 0.15 μB per atom
Formation energy from the elements ... 0.58 eV/atom

Cell: 2.9277 5.4483 10.8491 Å, 90.00 90.00 90.00°
Last column: nearest neighbours and their distance in Å.
Space group Immm (No. 71)
Inequivalent atoms, fractional coordinates:
Ba: 0.0000 0.0000 0.0000 x2  2 Ba 2.93, 4 Os 3.09
Os: 0.0000 0.0000 0.5000 x2  4 Au 2.69, 2 Os 2.93
Au: 0.0000 0.5000 0.2078 x4  2 Os 2.69, 2 Au 2.93


12.
Below is a PBEsol-optimized structure of BaOsAu2, with properties calculated at the meta-GGA SCAN level.

Total moment ... 0.54 μB per atom
Formation energy from the elements ... 0.92 eV/atom

Cell: 6.9596 6.9596 6.9596 Å, 90.00 90.00 90.00°
Last column: nearest neighbours and their distance in Å.
Space group F-43m (No. 216)
Inequivalent atoms, fractional coordinates:
Ba: 0.0000 0.0000 0.0000 x4  4 Au 3.01, 4 Os 3.01
Os: 0.2500 0.2500 0.2500 x4  4 Ba 3.01, 4 Au 3.01
Au: 0.0000 0.0000 0.5000 x4  4 Os 3.01, 4 Au 3.01
Au: 0.2500 0.2500 0.7500 x4  4 Au 3.01, 4 Ba 3.01


Copy entry 2 word for word.
Below is a PBEsol-optimized structure of BaNiAu, with properties calculated at the meta-GGA SCAN level.

Total moment ... 0.15 μB per atom
Formation energy from the elements ... -0.06 eV/atom

Cell: 3.5647 3.5647 10.7393 Å, 90.00 90.00 90.00°
Last column: nearest neighbours and their distance in Å.
Space group I4mm (No. 107)
Inequivalent atoms, fractional coordinates:
Ba: 0.0000 0.0000 0.0000 x2  1 Ni 2.90, 1 Au 3.06
Ni: 0.0000 0.0000 0.2704 x2  4 Au 2.59
Au: 0.0000 0.0000 0.7149 x2  4 Ni 2.59